This record from Alexandria via LeMat-Bulk describes Rb3Ce2UAs6 after structural relaxation. The functional is PBE-GGA.

abc: 7.557 7.557 8.287
angles: 98.75 98.75 119.99
Atoms (fractional coordinates):
Rb (0.500, 0.500, 0.500)
Rb (0.830, 0.170, 0.500)
Rb (0.170, 0.830, 0.500)
As (0.742, 0.742, 0.176)
As (0.942, 0.624, 0.824)
As (0.258, 0.258, 0.824)
As (0.624, 0.942, 0.824)
As (0.376, 0.058, 0.176)
As (0.058, 0.376, 0.176)
Ce (0.666, 0.334, 0.000)
Ce (0.334, 0.666, 0.000)
U (0.000, 0.000, 0.000)

Properties
* DFT formation energy: -8.69 eV per formula unit
* raw total energy: -62.65 eV per cell
* symmetry: C2/m, No. 12